# In3Au, relaxed, DFT GGA-PBE
# **Raw total energy**: -2.89 eV per atom
# **DOS(E_F)**: 2.8 states/eV/cell
# **ΔE_f**: -20 meV per atom
# **Total moment**: 0.00 μB/cell
data_In3Au
_cell_length_a 6.7399
_cell_length_b 6.7399
_cell_length_c 4.9692
_cell_angle_alpha 90.00
_cell_angle_beta 90.00
_cell_angle_gamma 120.00
_symmetry_space_group_name_H-M 'P 1'
_symmetry_Int_Tables_number 1
loop_
_symmetry_equiv_pos_as_xyz
'x,y,z'
loop_
_atom_site_label
_atom_site_type_symbol
_atom_site_fract_x
_atom_site_fract_y
_atom_site_fract_z
In1 In 0.1737 0.3473 0.2500
In2 In 0.1737 0.8263 0.2500
In3 In 0.3473 0.1737 0.7500
In4 In 0.6527 0.8263 0.2500
In5 In 0.8263 0.1737 0.7500
In6 In 0.8263 0.6527 0.7500
Au1 Au 0.3333 0.6667 0.7500
Au2 Au 0.6667 0.3333 0.2500